Compound: HoGaSnCl6
Source: Alexandria via LeMat-Bulk
Functional: PBE
Structure: relaxed

a b c (Å): 6.6999 6.6999 12.6960
angles (deg): 90.00 90.00 90.00
Fractional positions:
Ho  0.5000  0.5000  0.8322
Ho  0.0000  0.0000  0.3322
Ga  0.5000  0.5000  0.5003
Ga  0.0000  0.0000  0.0003
Sn  0.5000  0.5000  0.1666
Sn  0.0000  0.0000  0.6666
Cl  0.1827  0.8173  0.4912
Cl  0.8173  0.1827  0.4912
Cl  0.3173  0.3173  0.9912
Cl  0.6827  0.6827  0.9912
Cl  0.1952  0.8048  0.1827
Cl  0.8048  0.1952  0.1827
Cl  0.3048  0.3048  0.6827
Cl  0.6952  0.6952  0.6827
Cl  0.7787  0.2213  0.8265
Cl  0.2213  0.7787  0.8265
Cl  0.7213  0.7213  0.3265
Cl  0.2787  0.2787  0.3265

## Properties
- N(E_F): 0.0 states/eV per cell
- V: 31.7 Å³/atom
- DFT total energy: -4.0174 eV/atom
- E_form (uncorrected): -1.50 eV/atom

Compound: HoTlGa2Cl6
Source: Alexandria via LeMat-Bulk
Functional: PBE
Structure: relaxed

a b c (Å): 7.5384 7.5360 7.9476
angles (deg): 61.62 61.63 59.91
Fractional positions:
Ho  0.3237  0.3235  0.0291
Tl  0.8117  0.8120  0.5643
Ga  0.5193  0.5198  0.4415
Ga  0.0109  0.0111  0.9662
Cl  0.5638  0.2312  0.2338
Cl  0.2310  0.9709  0.2346
Cl  0.9709  0.5644  0.2339
Cl  0.3939  0.6907  0.7701
Cl  0.6911  0.1440  0.7711
Cl  0.1452  0.3939  0.7705

## Properties
- N(E_F): 0.0 states/eV per cell
- V: 32.7 Å³/atom
- DFT total energy: -3.8155 eV/atom
- E_form (uncorrected): -1.41 eV/atom

Compound: GaICl
Source: Alexandria via LeMat-Bulk
Functional: PBE
Structure: relaxed

a b c (Å): 6.9072 3.9911 3.9911
angles (deg): 120.00 90.00 90.00
Fractional positions:
I  0.7561  0.6667  0.3333
Ga  0.0173  0.0000  0.0000
Cl  0.2266  0.3333  0.6667

## Properties
- Energy above the lowest structure with this stoichiometry: 266 meV per atom
- N(E_F): 3.0 states/eV per cell
- V: 31.8 Å³/atom
- DFT total energy: -2.6092 eV/atom
- E_form (uncorrected): -0.47 eV/atom